1.
Crystalline Pr3Dy3Te2Pt at its relaxed geometry. Source: OQMD, functional PBE.

Properties
- symmetry = P-62m
- calculated density (Mg/m³) = 8.73
- magnetic moment (μB/f.u.) = 0.003
- E (eV per atom) = -5.32

Cell and atoms, written as POSCAR:
```
Pr3Dy3Te2Pt
1.0
-1.525 -4.502 -7.271
3.602 -3.923 6.863
-3.602 -0.953 1.346
Dy Pt Te Pr
3 1 2 3
direct
0.000 0.407 0.000
0.407 0.000 0.000
0.593 0.593 0.000
0.000 0.000 0.000
0.667 0.333 0.500
0.333 0.667 0.500
0.000 0.749 0.500
0.251 0.251 0.500
0.749 0.000 0.500
```

2.
Crystalline Pr3Dy3Te2Pt at its relaxed geometry. Source: OQMD, functional PBE.

Properties
- symmetry = P-62m
- calculated density (Mg/m³) = 8.78
- magnetic moment (μB/f.u.) = 0.002
- E (eV per atom) = -5.46

Cell and atoms, written as POSCAR:
```
Pr3Dy3Te2Pt
1.0
-2.585 6.516 -4.875
-3.839 -7.600 -0.645
-2.664 1.101 2.884
Dy Te Pr Pt
3 2 3 1
direct
0.239 0.239 0.500
0.761 0.000 0.500
0.000 0.761 0.500
0.667 0.333 0.500
0.333 0.667 0.500
0.000 0.406 0.000
0.594 0.594 0.000
0.406 0.000 0.000
0.000 0.000 0.000
```

3.
Crystalline RbPrDy at its relaxed geometry. Source: OQMD, functional PBE.

Properties
- symmetry = F-43m
- calculated density (Mg/m³) = 4.12
- magnetic moment (μB/f.u.) = 1.342
- E (eV per atom) = -2.26

Cell and atoms, written as POSCAR:
```
RbPrDy
1.0
-4.264 -2.984 3.090
-2.408 2.459 4.979
-5.722 1.973 -0.063
Rb Dy Pr
1 1 1
direct
0.750 0.750 0.750
0.000 0.000 0.000
0.250 0.250 0.250
```

4.
Crystalline PrDy3S6 at its relaxed geometry. Source: OQMD, functional PBE.

Properties
- symmetry = P2_1/m
- calculated density (Mg/m³) = 5.71
- magnetic moment (μB/f.u.) = 0.004
- E (eV per atom) = -6.43

Cell and atoms, written as POSCAR:
```
PrDy3S6
1.0
-6.262 -1.955 8.939
3.274 -0.975 2.081
3.185 10.913 0.101
S Dy Pr
12 6 2
direct
0.895 0.250 0.559
0.978 0.250 0.111
0.022 0.750 0.889
0.105 0.750 0.441
0.696 0.750 0.749
0.304 0.250 0.251
0.236 0.250 0.772
0.618 0.250 0.963
0.764 0.750 0.228
0.418 0.250 0.594
0.382 0.750 0.037
0.582 0.750 0.406
0.180 0.250 0.002
0.661 0.250 0.587
0.941 0.250 0.332
0.059 0.750 0.668
0.339 0.750 0.413
0.820 0.750 0.998
0.549 0.250 0.194
0.451 0.750 0.806
```

5.
Crystalline PrDySb2 at its relaxed geometry. Source: OQMD, functional PBE.

Properties
- symmetry = P4/mmm
- calculated density (Mg/m³) = 7.18
- magnetic moment (μB/f.u.) = 0.001
- E (eV per atom) = -5.55

Cell and atoms, written as POSCAR:
```
PrDySb2
1.0
4.472 0.000 0.000
0.000 4.472 0.000
0.000 0.000 6.323
Sb Dy Pr
2 1 1
direct
0.500 0.500 0.500
0.000 0.000 0.000
0.000 0.000 0.500
0.500 0.500 0.000
```

6.
Crystalline PrDySb at its relaxed geometry. Source: OQMD, functional PBE.

Properties
- symmetry = F-43m
- calculated density (Mg/m³) = 7.19
- magnetic moment (μB/f.u.) = 0.020
- E (eV per atom) = -5.09

Cell and atoms, written as POSCAR:
```
PrDySb
1.0
-1.987 -4.778 0.174
-4.420 -0.875 2.552
-4.328 -1.101 -2.620
Dy Pr Sb
1 1 1
direct
0.250 0.250 0.250
0.750 0.750 0.750
0.000 0.000 0.000
```

7.
Crystalline PrDySb2 at its relaxed geometry. Source: OQMD, functional PBE.

Properties
- symmetry = P4/nmm
- calculated density (Mg/m³) = 7.71
- magnetic moment (μB/f.u.) = 0.008
- E (eV per atom) = -5.25

Cell and atoms, written as POSCAR:
```
PrDySb2
1.0
-2.188 1.697 -3.569
0.777 -3.816 -2.291
-9.902 -4.405 3.976
Pr Sb Dy
2 4 2
direct
0.000 0.500 0.214
0.500 0.000 0.786
0.500 0.500 0.000
0.000 0.500 0.690
0.000 0.000 0.000
0.500 0.000 0.310
0.500 0.500 0.500
0.000 0.000 0.500
```

8.
Crystalline PrDy2Sb3 at its relaxed geometry. Source: OQMD, functional PBE.

Properties
- symmetry = P-3m1
- calculated density (Mg/m³) = 7.44
- magnetic moment (μB/f.u.) = 0.015
- E (eV per atom) = -5.54

Cell and atoms, written as POSCAR:
```
PrDy2Sb3
1.0
4.437 0.000 0.000
-2.219 3.843 0.000
0.000 0.000 10.882
Dy Sb Pr
2 3 1
direct
0.667 0.333 0.162
0.333 0.667 0.838
0.333 0.667 0.324
0.667 0.333 0.676
0.000 0.000 0.000
0.000 0.000 0.500
```

9.
Crystalline PrDySc at its relaxed geometry. Source: OQMD, functional PBE.

Properties
- DFT formation energy (eV per atom) = 0.67
- symmetry = F-43m
- calculated density (Mg/m³) = 5.47
- magnetic moment (μB/f.u.) = 0.118
- E (eV per atom) = -4.57

Cell and atoms, written as POSCAR:
```
PrDySc
1.0
0.000 3.753 3.753
3.753 0.000 3.753
3.753 3.753 0.000
Pr Sc Dy
1 1 1
direct
0.750 0.750 0.750
0.000 0.000 0.000
0.250 0.250 0.250
```

10.
Crystalline PrDy2Se3 at its relaxed geometry. Source: OQMD, functional PBE.

Properties
- symmetry = P-3m1
- calculated density (Mg/m³) = 7.81
- magnetic moment (μB/f.u.) = 0.002
- E (eV per atom) = -5.86

Cell and atoms, written as POSCAR:
```
PrDy2Se3
1.0
-3.087 -2.525 -0.983
3.793 -0.760 -1.379
1.914 -5.590 8.348
Dy Pr Se
2 1 3
direct
0.333 0.667 0.663
0.667 0.333 0.337
0.000 0.000 0.000
0.000 0.000 0.500
0.333 0.667 0.181
0.667 0.333 0.819
```

11.
Crystalline PrDySi at its relaxed geometry. Source: OQMD, functional PBE.

Properties
- symmetry = F-43m
- calculated density (Mg/m³) = 6.38
- magnetic moment (μB/f.u.) = 0.025
- E (eV per atom) = -5.37

Cell and atoms, written as POSCAR:
```
PrDySi
1.0
-4.482 -1.540 1.461
-1.350 0.451 4.750
-3.460 3.310 1.291
Pr Dy Si
1 1 1
direct
0.750 0.750 0.750
0.250 0.250 0.250
0.000 0.000 0.000
```

12.
Crystalline Pr3DySi4 at its relaxed geometry. Source: OQMD, functional PBE.

Properties
- symmetry = Pm
- calculated density (Mg/m³) = 6.05
- magnetic moment (μB/f.u.) = 0.026
- E (eV per atom) = -5.83

Cell and atoms, written as POSCAR:
```
Pr3DySi4
1.0
5.911 0.000 0.000
0.000 3.936 0.000
-0.063 0.000 8.229
Pr Dy Si
3 1 4
direct
0.613 0.000 0.822
0.114 0.500 0.680
0.885 0.000 0.320
0.385 0.500 0.180
0.619 0.500 0.532
0.377 0.000 0.458
0.127 0.000 0.970
0.880 0.500 0.038
```

13.
Crystalline PrDy2Zn4Si4 at its relaxed geometry. Source: OQMD, functional PBE.

Properties
- symmetry = Immm
- calculated density (Mg/m³) = 6.72
- magnetic moment (μB/f.u.) = 0.003
- E (eV per atom) = -4.24

Cell and atoms, written as POSCAR:
```
PrDy2Zn4Si4
1.0
-2.038 2.061 12.344
2.038 -2.061 12.344
2.038 2.061 -12.344
Zn Si Dy Pr
4 4 2 1
direct
0.905 0.405 0.500
0.095 0.595 0.500
0.250 0.250 0.000
0.750 0.750 0.000
0.190 0.690 0.500
0.810 0.310 0.500
0.452 0.452 0.000
0.548 0.548 0.000
0.644 0.144 0.500
0.356 0.856 0.500
0.000 0.000 0.000
```

14.
Crystalline PrDySn2 at its relaxed geometry. Source: OQMD, functional PBE.

Properties
- symmetry = Amm2
- calculated density (Mg/m³) = 6.77
- magnetic moment (μB/f.u.) = 0.004
- E (eV per atom) = -4.29

Cell and atoms, written as POSCAR:
```
PrDySn2
1.0
3.365 0.000 0.000
0.000 3.165 6.225
0.000 -3.165 6.225
Sn Dy Pr
2 1 1
direct
0.000 0.111 0.111
0.000 0.885 0.885
0.000 0.644 0.644
0.000 0.360 0.360
```

15.
Crystalline PrDySn at its relaxed geometry. Source: OQMD, functional PBE.

Properties
- symmetry = F-43m
- calculated density (Mg/m³) = 6.89
- magnetic moment (μB/f.u.) = 0.023
- E (eV per atom) = -4.87

Cell and atoms, written as POSCAR:
```
PrDySn
1.0
0.000 3.705 3.705
3.705 0.000 3.705
3.705 3.705 0.000
Pr Sn Dy
1 1 1
direct
0.500 0.500 0.500
0.750 0.750 0.750
0.000 0.000 0.000
```

16.
Crystalline PrDyZn2Sn2 at its relaxed geometry. Source: OQMD, functional PBE.

Properties
- symmetry = P6_3/mmc
- calculated density (Mg/m³) = 7.64
- magnetic moment (μB/f.u.) = 0.004
- E (eV per atom) = -3.92

Cell and atoms, written as POSCAR:
```
PrDyZn2Sn2
1.0
-0.936 3.531 2.743
-3.375 -2.100 -2.252
-1.962 -10.163 12.416
Sn Dy Pr Zn
4 2 2 4
direct
0.333 0.667 0.389
0.333 0.667 0.111
0.667 0.333 0.611
0.667 0.333 0.889
0.000 0.000 0.000
0.000 0.000 0.500
0.000 0.000 0.250
0.000 0.000 0.750
0.333 0.667 0.845
0.333 0.667 0.655
0.667 0.333 0.345
0.667 0.333 0.155
```

17.
Crystalline PrDyZn2Sn2 at its relaxed geometry. Source: OQMD, functional PBE.

Properties
- symmetry = P6_3/mmc
- calculated density (Mg/m³) = 7.65
- magnetic moment (μB/f.u.) = 0.002
- E (eV per atom) = -3.95

Cell and atoms, written as POSCAR:
```
PrDyZn2Sn2
1.0
-3.167 -3.124 0.918
3.365 0.760 2.955
-9.076 11.379 7.409
Pr Sn Dy Zn
2 4 2 4
direct
0.000 0.000 0.000
0.000 0.000 0.500
0.667 0.333 0.619
0.333 0.667 0.381
0.667 0.333 0.881
0.333 0.667 0.119
0.000 0.000 0.250
0.000 0.000 0.750
0.667 0.333 0.163
0.333 0.667 0.663
0.667 0.333 0.337
0.333 0.667 0.837
```

18.
Crystalline Tb2Pr3Dy at its relaxed geometry. Source: OQMD, functional PBE.

Properties
- DFT formation energy (eV per atom) = 0.00
- symmetry = Cmc2_1
- calculated density (Mg/m³) = 7.44
- magnetic moment (μB/f.u.) = 0.550
- E (eV per atom) = -4.70

Cell and atoms, written as POSCAR:
```
Tb2Pr3Dy
1.0
-3.932 4.032 -2.859
-6.142 0.010 1.470
2.014 7.892 8.360
Pr Tb Dy
6 4 2
direct
0.167 0.165 0.530
0.165 0.167 0.030
0.833 0.835 0.030
0.499 0.501 0.030
0.501 0.499 0.530
0.835 0.833 0.530
0.501 0.833 0.780
0.499 0.167 0.280
0.167 0.499 0.780
0.833 0.501 0.280
0.166 0.834 0.280
0.834 0.166 0.780
```

19.
Crystalline TbPrDy at its relaxed geometry. Source: OQMD, functional PBE.

Properties
- DFT formation energy (eV per atom) = 0.76
- symmetry = F-43m
- calculated density (Mg/m³) = 6.57
- magnetic moment (μB/f.u.) = 0.285
- E (eV per atom) = -3.90

Cell and atoms, written as POSCAR:
```
TbPrDy
1.0
-5.288 -1.163 0.891
-1.936 -0.211 5.130
-3.401 3.907 1.811
Tb Dy Pr
1 1 1
direct
0.250 0.250 0.250
0.750 0.750 0.750
0.500 0.500 0.500
```

20.
Crystalline PrDyTc at its relaxed geometry. Source: OQMD, functional PBE.

Properties
- DFT formation energy (eV per atom) = 0.92
- symmetry = F-43m
- calculated density (Mg/m³) = 8.39
- magnetic moment (μB/f.u.) = 0.076
- E (eV per atom) = -5.66

Cell and atoms, written as POSCAR:
```
PrDyTc
1.0
-1.477 -0.600 4.555
1.184 3.247 3.368
-3.382 2.907 1.843
Dy Pr Tc
1 1 1
direct
0.000 0.000 0.000
0.250 0.250 0.250
0.750 0.750 0.750
```